<A>
First-principles (PBE-GGA) data for Sc2TiRu after structural relaxation, as listed in Alexandria via LeMat-Bulk.

Lattice parameters (Å, degrees): 7.579 7.579 5.607 90.00 90.00 90.00
Space group I-42d (No. 122)
Asymmetric unit:
Sc1 0.200 0.250 0.125 (multiplicity 8)
Ti1 0.000 0.000 0.500 (multiplicity 4)
Ru1 0.000 0.000 0.000 (multiplicity 4)

Computed properties:
Fermi-level density of states: 5.18 states/eV/f.u.
Total magnetic moment: 1.1 μB/f.u.
Volume: 322.1 Å³/cell

---

<B>
First-principles (PBE-GGA) data for Sc2TiRu after structural relaxation, as listed in Alexandria via LeMat-Bulk.

Lattice parameters (Å, degrees): 6.635 6.635 6.635 90.00 90.00 90.00
Space group Fm-3m (No. 225)
Asymmetric unit:
Sc1 0.250 0.250 0.250 (multiplicity 8)
Ti1 0.000 0.000 0.000 (multiplicity 4)
Ru1 0.000 0.000 0.500 (multiplicity 4)

Computed properties:
Fermi-level density of states: 7.34 states/eV/f.u.
Total magnetic moment: 2.6 μB/f.u.
Volume: 292.1 Å³/cell

---

<C>
First-principles (PBE-GGA) data for Sc2TiRu after structural relaxation, as listed in Alexandria via LeMat-Bulk.

Lattice parameters (Å, degrees): 3.203 3.203 7.295 90.00 90.00 90.00
Space group P4/mmm (No. 123)
Asymmetric unit:
Sc1 0.000 0.000 0.214 (multiplicity 2)
Ti1 0.500 0.500 0.500 (multiplicity 1)
Ru1 0.500 0.500 0.000 (multiplicity 1)

Computed properties:
Fermi-level density of states: 4.74 states/eV/f.u.
Total magnetic moment: 0.0 μB/f.u.
Volume: 74.9 Å³/cell

---

Q: Which of them is the least stable? A: <A>.

---

<A>
First-principles (PBE-GGA) data for ScTi2Ru2 after structural relaxation, as listed in Alexandria via LeMat-Bulk.

Lattice parameters (Å, degrees): 4.028 4.028 11.143 90.00 90.00 90.00
Space group I4/mmm (No. 139)
Asymmetric unit:
Sc1 0.000 0.000 0.000 (multiplicity 2)
Ti1 0.000 0.500 0.250 (multiplicity 4)
Ru1 0.000 0.000 0.386 (multiplicity 4)

Computed properties:
Fermi-level density of states: 5.19 states/eV/f.u.
Total magnetic moment: 0.0 μB/f.u.
Volume: 180.8 Å³/cell

---

<B>
First-principles (PBE-GGA) data for ScTi2Ru2 after structural relaxation, as listed in Alexandria via LeMat-Bulk.

Lattice parameters (Å, degrees): 7.479 7.479 2.942 90.00 90.00 90.00
Space group P4/mbm (No. 127)
Asymmetric unit:
Sc1 0.000 0.000 0.000 (multiplicity 2)
Ti1 0.139 0.361 0.000 (multiplicity 4)
Ru1 0.158 0.658 0.500 (multiplicity 4)

Computed properties:
Fermi-level density of states: 5.71 states/eV/f.u.
Total magnetic moment: 0.0 μB/f.u.
Volume: 164.6 Å³/cell

---

Q: Which of them is the least stable? A: <A>.

---

<A>
First-principles (PBE-GGA) data for ScTi2Ru2 after structural relaxation, as listed in Alexandria via LeMat-Bulk.

Lattice parameters (Å, degrees): 3.127 17.445 3.098 90.00 90.00 90.00
Space group Cmmm (No. 65)
Asymmetric unit:
Sc1 0.000 0.000 0.000 (multiplicity 2)
Ti1 0.000 0.180 0.000 (multiplicity 4)
Ru1 0.000 0.399 0.500 (multiplicity 4)

Computed properties:
Fermi-level density of states: 4.32 states/eV/f.u.
Total magnetic moment: 0.9 μB/f.u.
Volume: 169.0 Å³/cell

---

<B>
First-principles (PBE-GGA) data for ScTi2Ru2 after structural relaxation, as listed in Alexandria via LeMat-Bulk.

Lattice parameters (Å, degrees): 7.403 7.403 3.045 90.00 90.00 90.00
Space group P4/mbm (No. 127)
Asymmetric unit:
Sc1 0.000 0.000 0.000 (multiplicity 2)
Ti1 0.147 0.353 0.500 (multiplicity 4)
Ru1 0.148 0.648 0.000 (multiplicity 4)

Computed properties:
Fermi-level density of states: 4.60 states/eV/f.u.
Total magnetic moment: 0.0 μB/f.u.
Volume: 166.9 Å³/cell

---

Q: Which of them is the least stable? A: <A>.

---

<A>
First-principles (PBE-GGA) data for ScTi2Ru after structural relaxation, as listed in Alexandria via LeMat-Bulk.

Lattice parameters (Å, degrees): 7.338 7.338 5.574 90.00 90.00 90.00
Space group I-42d (No. 122)
Asymmetric unit:
Sc1 0.000 0.000 0.000 (multiplicity 4)
Ti1 0.196 0.250 0.625 (multiplicity 8)
Ru1 0.000 0.000 0.500 (multiplicity 4)

Computed properties:
Fermi-level density of states: 4.12 states/eV/f.u.
Total magnetic moment: 0.0 μB/f.u.
Volume: 300.1 Å³/cell

---

<B>
First-principles (PBE-GGA) data for ScTi2Ru after structural relaxation, as listed in Alexandria via LeMat-Bulk.

Lattice parameters (Å, degrees): 3.116 3.116 7.199 90.00 90.00 90.00
Space group P4/mmm (No. 123)
Asymmetric unit:
Sc1 0.000 0.000 0.000 (multiplicity 1)
Ti1 0.500 0.500 0.293 (multiplicity 2)
Ru1 0.000 0.000 0.500 (multiplicity 1)

Computed properties:
Fermi-level density of states: 6.43 states/eV/f.u.
Total magnetic moment: 1.0 μB/f.u.
Volume: 69.9 Å³/cell

---

Q: Which of them is the least stable? A: <A>.

---

<A>
First-principles (PBE-GGA) data for ScTi2Ru after structural relaxation, as listed in Alexandria via LeMat-Bulk.

Lattice parameters (Å, degrees): 3.153 4.658 9.424 90.00 90.00 90.00
Space group Immm (No. 71)
Asymmetric unit:
Sc1 0.000 0.000 0.000 (multiplicity 2)
Ti1 0.000 0.500 0.217 (multiplicity 4)
Ru1 0.000 0.000 0.500 (multiplicity 2)

Computed properties:
Fermi-level density of states: 3.25 states/eV/f.u.
Total magnetic moment: 0.0 μB/f.u.
Volume: 138.4 Å³/cell

---

<B>
First-principles (PBE-GGA) data for ScTi2Ru after structural relaxation, as listed in Alexandria via LeMat-Bulk.

Lattice parameters (Å, degrees): 6.430 6.430 6.430 90.00 90.00 90.00
Space group Fm-3m (No. 225)
Asymmetric unit:
Sc1 0.000 0.000 0.000 (multiplicity 4)
Ti1 0.250 0.250 0.250 (multiplicity 8)
Ru1 0.000 0.000 0.500 (multiplicity 4)

Computed properties:
Fermi-level density of states: 7.08 states/eV/f.u.
Total magnetic moment: 0.0 μB/f.u.
Volume: 265.9 Å³/cell

---

Q: Which of them is the least stable? A: <B>.

---

<A>
First-principles (PBE-GGA) data for Sc2TiRu2 after structural relaxation, as listed in Alexandria via LeMat-Bulk.

Lattice parameters (Å, degrees): 3.118 19.051 3.094 90.00 90.00 90.00
Space group Cmmm (No. 65)
Asymmetric unit:
Sc1 0.000 0.166 0.000 (multiplicity 4)
Ti1 0.000 0.000 0.000 (multiplicity 2)
Ru1 0.000 0.420 0.500 (multiplicity 4)

Computed properties:
Fermi-level density of states: 3.28 states/eV/f.u.
Total magnetic moment: 0.0 μB/f.u.
Volume: 183.8 Å³/cell

---

<B>
First-principles (PBE-GGA) data for Sc2TiRu2 after structural relaxation, as listed in Alexandria via LeMat-Bulk.

Lattice parameters (Å, degrees): 7.189 7.189 3.424 90.00 90.00 90.00
Space group P4/mbm (No. 127)
Asymmetric unit:
Sc1 0.154 0.346 0.000 (multiplicity 4)
Ti1 0.000 0.000 0.500 (multiplicity 2)
Ru1 0.152 0.652 0.500 (multiplicity 4)

Computed properties:
Fermi-level density of states: 3.65 states/eV/f.u.
Total magnetic moment: 0.0 μB/f.u.
Volume: 177.0 Å³/cell

---

Q: Which of them is the least stable? A: <B>.

---

<A>
First-principles (PBE-GGA) data for ScTlRu3 after structural relaxation, as listed in Alexandria via LeMat-Bulk.

Lattice parameters (Å, degrees): 4.701 4.701 4.701 90.00 90.00 90.00
Space group Pm-3m (No. 221)
Asymmetric unit:
Sc1 0.000 0.000 0.000 (multiplicity 1)
Tl1 0.500 0.500 0.500 (multiplicity 1)
Ru1 0.000 0.000 0.500 (multiplicity 3)

Computed properties:
Fermi-level density of states: 5.66 states/eV/f.u.
Total magnetic moment: 3.9 μB/f.u.
Volume: 103.9 Å³/cell

---

<B>
First-principles (PBE-GGA) data for ScTlRu3 after structural relaxation, as listed in Alexandria via LeMat-Bulk.

Lattice parameters (Å, degrees): 4.926 4.926 4.926 90.00 90.00 90.00
Space group Pm-3m (No. 221)
Asymmetric unit:
Sc1 0.000 0.000 0.000 (multiplicity 1)
Tl1 0.500 0.500 0.500 (multiplicity 1)
Ru1 0.000 0.500 0.500 (multiplicity 3)

Computed properties:
Fermi-level density of states: 7.08 states/eV/f.u.
Total magnetic moment: 3.9 μB/f.u.
Volume: 119.5 Å³/cell

---

Q: Which of them is the least stable? A: <B>.

---

<A>
First-principles (PBE-GGA) data for TmSc2Ru after structural relaxation, as listed in Alexandria via LeMat-Bulk.

Lattice parameters (Å, degrees): 7.134 8.532 5.930 90.00 90.00 90.00
Space group Pnma (No. 62)
Asymmetric unit:
Tm1 0.036 0.250 0.122 (multiplicity 4)
Sc1 0.175 0.063 0.658 (multiplicity 8)
Ru1 0.116 0.750 0.442 (multiplicity 4)

Computed properties:
Fermi-level density of states: 4.07 states/eV/f.u.
Total magnetic moment: 0.0 μB/f.u.
Volume: 360.9 Å³/cell

---

<B>
First-principles (PBE-GGA) data for TmSc2Ru after structural relaxation, as listed in Alexandria via LeMat-Bulk.

Lattice parameters (Å, degrees): 3.264 3.264 8.290 90.00 90.00 90.00
Space group P4/mmm (No. 123)
Asymmetric unit:
Tm1 0.000 0.000 0.000 (multiplicity 1)
Sc1 0.500 0.500 0.316 (multiplicity 2)
Ru1 0.000 0.000 0.500 (multiplicity 1)

Computed properties:
Fermi-level density of states: 3.51 states/eV/f.u.
Total magnetic moment: 0.0 μB/f.u.
Volume: 88.3 Å³/cell

---

<C>
First-principles (PBE-GGA) data for TmSc2Ru after structural relaxation, as listed in Alexandria via LeMat-Bulk.

Lattice parameters (Å, degrees): 3.2394 3.2394 30.7175 90.00 90.00 120.00
Space group R-3m (No. 166, hexagonal axes)
Asymmetric unit:
Tm1 0.0000 0.0000 0.0000 (multiplicity 3)
Sc1 0.0000 0.0000 0.1051 (multiplicity 6)
Ru1 0.0000 0.0000 0.5000 (multiplicity 3)

Computed properties:
Fermi-level density of states: 8.36 states/eV/f.u.
Total magnetic moment: 0.2 μB/f.u.
Volume: 279.2 Å³/cell

---

Q: Which of them is the least stable? A: <C>.

---

<A>
First-principles (PBE-GGA) data for TmScZnRu after structural relaxation, as listed in Alexandria via LeMat-Bulk.

Lattice parameters (Å, degrees): 3.330 3.330 6.921 90.00 90.00 90.00
Space group P4mm (No. 99)
Asymmetric unit:
Tm1 0.000 0.000 0.000 (multiplicity 1)
Sc1 0.000 0.000 0.541 (multiplicity 1)
Zn1 0.500 0.500 0.292 (multiplicity 1)
Ru1 0.500 0.500 0.753 (multiplicity 1)

Computed properties:
Fermi-level density of states: 1.97 states/eV/f.u.
Total magnetic moment: 0.0 μB/f.u.
Volume: 76.8 Å³/cell

---

<B>
First-principles (PBE-GGA) data for TmScZnRu after structural relaxation, as listed in Alexandria via LeMat-Bulk.

Lattice parameters (Å, degrees): 6.705 6.705 6.705 90.00 90.00 90.00
Space group F-43m (No. 216)
Asymmetric unit:
Tm1 0.000 0.000 0.000 (multiplicity 4)
Sc1 0.000 0.000 0.500 (multiplicity 4)
Zn1 0.250 0.250 0.250 (multiplicity 4)
Ru1 0.250 0.250 0.750 (multiplicity 4)

Computed properties:
Fermi-level density of states: 4.23 states/eV/f.u.
Total magnetic moment: 0.0 μB/f.u.
Volume: 301.4 Å³/cell

---

Q: Which of them is the least stable? A: <B>.

---

<A>
First-principles (PBE-GGA) data for ScV2Ru2 after structural relaxation, as listed in Alexandria via LeMat-Bulk.

Lattice parameters (Å, degrees): 7.360 7.360 2.829 90.00 90.00 90.00
Space group P4/mbm (No. 127)
Asymmetric unit:
Sc1 0.000 0.000 0.000 (multiplicity 2)
V1 0.144 0.356 0.000 (multiplicity 4)
Ru1 0.151 0.651 0.500 (multiplicity 4)

Computed properties:
Fermi-level density of states: 5.27 states/eV/f.u.
Total magnetic moment: 0.0 μB/f.u.
Volume: 153.2 Å³/cell

---

<B>
First-principles (PBE-GGA) data for ScV2Ru2 after structural relaxation, as listed in Alexandria via LeMat-Bulk.

Lattice parameters (Å, degrees): 3.045 16.605 3.042 90.00 90.00 90.00
Space group Cmmm (No. 65)
Asymmetric unit:
Sc1 0.000 0.000 0.000 (multiplicity 2)
V1 0.000 0.190 0.000 (multiplicity 4)
Ru1 0.000 0.392 0.500 (multiplicity 4)

Computed properties:
Fermi-level density of states: 4.48 states/eV/f.u.
Total magnetic moment: 0.0 μB/f.u.
Volume: 153.8 Å³/cell

---

<C>
First-principles (PBE-GGA) data for ScV2Ru2 after structural relaxation, as listed in Alexandria via LeMat-Bulk.

Lattice parameters (Å, degrees): 4.075 4.075 10.263 90.00 90.00 90.00
Space group I4/mmm (No. 139)
Asymmetric unit:
Sc1 0.000 0.000 0.000 (multiplicity 2)
V1 0.000 0.500 0.250 (multiplicity 4)
Ru1 0.000 0.000 0.378 (multiplicity 4)

Computed properties:
Fermi-level density of states: 4.66 states/eV/f.u.
Total magnetic moment: 0.0 μB/f.u.
Volume: 170.4 Å³/cell

---

Q: Which of them is the least stable? A: <B>.

---

<A>
First-principles (PBE-GGA) data for ScRuW after structural relaxation, as listed in Alexandria via LeMat-Bulk.

Lattice parameters (Å, degrees): 4.4514 4.4514 2.8953 90.00 90.00 120.00
Space group P3m1 (No. 156)
Asymmetric unit:
Sc1 0.0000 0.0000 0.0000 (multiplicity 1)
Ru1 0.3333 0.6667 0.6520 (multiplicity 1)
W1 0.6667 0.3333 0.4001 (multiplicity 1)

Computed properties:
Fermi-level density of states: 2.93 states/eV/f.u.
Total magnetic moment: 0.0 μB/f.u.
Volume: 49.7 Å³/cell

---

<B>
First-principles (PBE-GGA) data for ScRuW after structural relaxation, as listed in Alexandria via LeMat-Bulk.

Lattice parameters (Å, degrees): 6.131 6.131 6.131 90.00 90.00 90.00
Space group F-43m (No. 216)
Asymmetric unit:
Sc1 0.000 0.000 0.000 (multiplicity 4)
Ru1 0.250 0.250 0.750 (multiplicity 4)
W1 0.000 0.000 0.500 (multiplicity 4)

Computed properties:
Fermi-level density of states: 2.83 states/eV/f.u.
Total magnetic moment: 0.0 μB/f.u.
Volume: 230.5 Å³/cell

---

Q: Which of them is the least stable? A: <B>.

---

<A>
First-principles (PBE-GGA) data for ScRuW after structural relaxation, as listed in Alexandria via LeMat-Bulk.

Lattice parameters (Å, degrees): 3.120 3.120 10.252 90.00 90.00 90.00
Space group I4mm (No. 107)
Asymmetric unit:
Sc1 0.000 0.000 0.000 (multiplicity 2)
Ru1 0.000 0.000 0.672 (multiplicity 2)
W1 0.000 0.000 0.316 (multiplicity 2)

Computed properties:
Fermi-level density of states: 1.48 states/eV/f.u.
Total magnetic moment: 0.0 μB/f.u.
Volume: 99.8 Å³/cell

---

<B>
First-principles (PBE-GGA) data for ScRuW after structural relaxation, as listed in Alexandria via LeMat-Bulk.

Lattice parameters (Å, degrees): 3.231 4.631 13.316 90.00 90.00 90.00
Space group Fmm2 (No. 42)
Asymmetric unit:
Sc1 0.000 0.000 0.000 (multiplicity 4)
Ru1 0.000 0.000 0.662 (multiplicity 4)
W1 0.000 0.000 0.317 (multiplicity 4)

Computed properties:
Fermi-level density of states: 2.75 states/eV/f.u.
Total magnetic moment: 0.0 μB/f.u.
Volume: 199.2 Å³/cell

---

Q: Which of them is the least stable? A: <B>.